Record 1
{
  "formula": "TbHo4Sc2",
  "functional": "PBE",
  "state": "optimized geometry",
  "e_above_lowest_polymorph_mev_per_atom": 121,
  "dos_at_fermi_per_ev_cell": 25.23,
  "space_group": "Cmcm",
  "formation_energy_ev_per_atom": 0.1438,
  "lattice_angstrom": [[-1.5601, -5.0910, -0.9795], [-0.3322, -1.1777, 6.6507], [-9.9912, 5.8381, 0.5347]],
  "species": ["Ho", "Ho", "Ho", "Ho", "Ho", "Ho", "Ho", "Ho", "Sc", "Sc", "Sc", "Sc", "Tb", "Tb"],
  "fractional_positions": [[0.6463, 0.4995, 0.2920], [0.6463, 0.0005, 0.2920], [0.9224, 0.7500, 0.8464], [0.7840, 0.2500, 0.5691], [0.3537, 0.9995, 0.7080], [0.0776, 0.2500, 0.1536], [0.2160, 0.7500, 0.4309], [0.3537, 0.5005, 0.7080], [0.2143, 0.2500, 0.4293], [0.5023, 0.2500, 0.0041], [0.4977, 0.7500, 0.9959], [0.7857, 0.7500, 0.5707], [0.9284, 0.2500, 0.8571], [0.0716, 0.7500, 0.1429]]
}

***

Record 2
{
  "formula": "Tb2HoSc",
  "functional": "PBE",
  "state": "optimized geometry",
  "e_above_lowest_polymorph_mev_per_atom": 0,
  "dos_at_fermi_per_ev_cell": 13.18,
  "space_group": "Cm",
  "formation_energy_ev_per_atom": 0.0335,
  "lattice_angstrom": [[3.5065, -0.0094, 0.0029], [0.0209, 6.0282, -0.7464], [-1.7753, -3.6413, 11.7498]],
  "species": ["Sc", "Sc", "Tb", "Tb", "Tb", "Tb", "Ho", "Ho"],
  "fractional_positions": [[0.2935, 0.4818, 0.0718], [0.7936, 0.9818, 0.0718], [0.6728, 0.4472, 0.8303], [0.9120, 0.8481, 0.3109], [0.1729, 0.9472, 0.8303], [0.4120, 0.3481, 0.3109], [0.0415, 0.3978, 0.5705], [0.5414, 0.8978, 0.5705]]
}